[1]
Density functional theory data (SCAN) for ZrTlIn2 at its PBEsol-relaxed geometry.

Cell and atoms, written as extended XYZ:
```
4
Lattice="3.167 0.000 0.000 0.000 5.297 0.000 0.000 0.000 5.486" Properties=species:S:1:pos:R:3 pbc="T T T"
Zr 0.000 0.000 0.000
Tl 0.000 2.648 1.851
In 1.584 0.000 2.743
In 1.584 2.648 4.674
```

Calculated values
**E**: -1.565 hartree per atom
**DFT formation energy**: -0.127 eV/atom
**Symmetry**: Pmm2 (25)

[2]
Density functional theory data (SCAN) for ZrTl2In at its PBEsol-relaxed geometry.

Cell and atoms, written as extended XYZ:
```
4
Lattice="0.000 3.640 3.640 3.640 0.000 3.640 3.640 3.640 0.000" Properties=species:S:1:pos:R:3 pbc="T T T"
Zr 0.000 0.000 0.000
Tl 1.820 1.820 1.820
Tl 5.459 5.459 5.459
In 3.640 3.640 3.640
```

Calculated values
**E**: -1.909 hartree per atom
**DFT formation energy**: 0.259 eV/atom
**Symmetry**: Fm-3m (225)

[3]
Density functional theory data (SCAN) for ZrTlIn2 at its PBEsol-relaxed geometry.

Cell and atoms, written as extended XYZ:
```
4
Lattice="-2.119 2.119 4.940 2.119 -2.119 4.940 2.119 2.119 -4.940" Properties=species:S:1:pos:R:3 pbc="T T T"
Zr 0.000 0.000 0.000
Tl 0.000 0.000 4.940
In 2.119 0.000 2.470
In 0.000 2.119 2.470
```

Calculated values
**E**: -1.569 hartree per atom
**DFT formation energy**: -0.245 eV/atom
**Symmetry**: I4/mmm (139)

[4]
Density functional theory data (SCAN) for Zr3TlIn at its PBEsol-relaxed geometry.

Cell and atoms, written as extended XYZ:
```
5
Lattice="5.201 0.000 0.000 0.000 5.201 0.000 0.000 0.000 5.201" Properties=species:S:1:pos:R:3 pbc="T T T"
Zr 0.000 0.000 2.600
Zr 0.000 2.600 0.000
Zr 2.600 0.000 0.000
Tl 2.600 2.600 2.600
In 0.000 0.000 0.000
```

Calculated values
**E**: -1.426 hartree per atom
**DFT formation energy**: 0.752 eV/atom
**Symmetry**: Pm-3m (221)

[5]
Density functional theory data (SCAN) for ZrTlIn3 at its PBEsol-relaxed geometry.

Cell and atoms, written as extended XYZ:
```
5
Lattice="5.379 0.000 0.000 0.000 5.379 0.000 0.000 0.000 5.379" Properties=species:S:1:pos:R:3 pbc="T T T"
Zr 0.000 0.000 0.000
Tl 2.690 2.690 2.690
In 0.000 2.690 2.690
In 2.690 0.000 2.690
In 2.690 2.690 0.000
```

Calculated values
**E**: -1.458 hartree per atom
**DFT formation energy**: 0.972 eV/atom
**Symmetry**: Pm-3m (221)

[6]
Density functional theory data (SCAN) for ZrTl2In at its PBEsol-relaxed geometry.

Cell and atoms, written as extended XYZ:
```
4
Lattice="-2.133 2.133 4.991 2.133 -2.133 4.991 2.133 2.133 -4.991" Properties=species:S:1:pos:R:3 pbc="T T T"
Zr 0.000 0.000 0.000
Tl 0.000 0.000 4.991
Tl 0.000 2.133 2.496
In 2.133 0.000 2.496
```

Calculated values
**E**: -1.923 hartree per atom
**DFT formation energy**: -0.116 eV/atom
**Symmetry**: I-4m2 (119)

[7]
Density functional theory data (SCAN) for ZrTl2In at its PBEsol-relaxed geometry.

Cell and atoms, written as extended XYZ:
```
4
Lattice="5.846 -1.726 0.000 5.846 1.726 0.000 -2.296 0.000 4.667" Properties=species:S:1:pos:R:3 pbc="T T T"
Zr 0.000 0.000 0.000
Tl 1.241 0.000 3.521
Tl 8.154 0.000 1.146
In 4.697 0.000 2.333
```

Calculated values
**E**: -1.919 hartree per atom
**DFT formation energy**: -0.021 eV/atom
**Symmetry**: C2/m (12)

[8]
Density functional theory data (SCAN) for TmIn3 at its PBEsol-relaxed geometry.

Cell and atoms, written as extended XYZ:
```
4
Lattice="4.526 0.000 0.000 0.000 4.526 0.000 0.000 0.000 4.526" Properties=species:S:1:pos:R:3 pbc="T T T"
Tm 0.000 0.000 0.000
In 0.000 2.263 2.263
In 2.263 0.000 2.263
In 2.263 2.263 0.000
```

Calculated values
**E**: -1.414 hartree per atom
**DFT formation energy**: -0.481 eV/atom
**Symmetry**: Pm-3m (221)

[9]
Density functional theory data (SCAN) for Tm2ZnIn at its PBEsol-relaxed geometry.

Cell and atoms, written as extended XYZ:
```
4
Lattice="0.000 3.565 3.565 3.565 0.000 3.565 3.565 3.565 0.000" Properties=species:S:1:pos:R:3 pbc="T T T"
Tm 1.783 1.783 1.783
Tm 5.348 5.348 5.348
Zn 0.000 0.000 0.000
In 3.565 3.565 3.565
```

Calculated values
**E**: -1.402 hartree per atom
**DFT formation energy**: -0.502 eV/atom
**Symmetry**: Fm-3m (225)

[10]
Density functional theory data (SCAN) for UIn3 at its PBEsol-relaxed geometry.

Cell and atoms, written as extended XYZ:
```
4
Lattice="4.543 0.000 0.000 0.000 4.543 0.000 0.000 0.000 4.543" Properties=species:S:1:pos:R:3 pbc="T T T"
U 0.000 0.000 0.000
In 0.000 2.271 2.271
In 2.271 0.000 2.271
In 2.271 2.271 0.000
```

Calculated values
**E**: -1.872 hartree per atom
**DFT formation energy**: -0.032 eV/atom
**Symmetry**: Pm-3m (221)

[11]
Density functional theory data (SCAN) for YInW2 at its PBEsol-relaxed geometry.

Cell and atoms, written as extended XYZ:
```
4
Lattice="1.581 0.913 9.319 -1.581 0.913 9.319 0.000 -1.826 9.319" Properties=species:S:1:pos:R:3 pbc="T T T"
Y 0.000 0.000 0.000
In 0.000 0.000 21.371
W 0.000 0.000 6.901
W 0.000 0.000 14.429
```

Calculated values
**E**: -1.828 hartree per atom
**DFT formation energy**: 0.417 eV/atom
**Symmetry**: R3m (160)

[12]
Density functional theory data (SCAN) for Zn2InW at its PBEsol-relaxed geometry.

Cell and atoms, written as extended XYZ:
```
4
Lattice="3.405 0.000 0.000 0.000 3.405 0.000 0.000 0.000 5.683" Properties=species:S:1:pos:R:3 pbc="T T T"
Zn 0.000 0.000 1.231
Zn 0.000 0.000 4.452
In 1.702 1.702 2.842
W 1.702 1.702 0.000
```

Calculated values
**E**: -1.176 hartree per atom
**DFT formation energy**: 0.531 eV/atom
**Symmetry**: P4/mmm (123)

[13]
Density functional theory data (SCAN) for ZrInW3 at its PBEsol-relaxed geometry.

Cell and atoms, written as extended XYZ:
```
5
Lattice="4.752 0.000 0.000 0.000 4.752 0.000 0.000 0.000 4.752" Properties=species:S:1:pos:R:3 pbc="T T T"
Zr 0.000 0.000 0.000
In 2.376 2.376 2.376
W 0.000 0.000 2.376
W 0.000 2.376 0.000
W 2.376 0.000 0.000
```

Calculated values
**E**: -1.914 hartree per atom
**DFT formation energy**: 2.543 eV/atom
**Symmetry**: Pm-3m (221)

[14]
Density functional theory data (SCAN) for Y5In at its PBEsol-relaxed geometry.

Cell and atoms, written as extended XYZ:
```
6
Lattice="6.009 0.000 0.000 -3.004 5.204 0.000 0.000 0.000 5.489" Properties=species:S:1:pos:R:3 pbc="T T T"
Y -0.942 1.631 0.000
Y 1.884 0.000 0.000
Y 0.000 3.469 2.745
Y 3.004 1.735 2.745
Y 2.063 3.572 0.000
In 0.000 0.000 2.745
```

Calculated values
**E**: -1.063 hartree per atom
**DFT formation energy**: -0.160 eV/atom
**Symmetry**: P-62m (189)

[15]
Density functional theory data (SCAN) for YIn8 at its PBEsol-relaxed geometry.

Cell and atoms, written as extended XYZ:
```
9
Lattice="-4.975 4.975 2.246 4.975 -4.975 2.246 4.975 4.975 -2.246" Properties=species:S:1:pos:R:3 pbc="T T T"
Y 0.000 0.000 0.000
In 3.325 0.000 0.000
In 6.624 0.000 0.000
In 3.292 3.292 0.000
In 1.683 -1.683 2.246
In 0.000 3.325 0.000
In 0.000 6.624 0.000
In -1.683 1.683 2.246
In 1.683 1.683 2.246
```

Calculated values
**E**: -1.209 hartree per atom
**DFT formation energy**: -0.125 eV/atom
**Symmetry**: I4/mmm (139)

[16]
Density functional theory data (SCAN) for Y2In at its PBEsol-relaxed geometry.

Cell and atoms, written as extended XYZ:
```
3
Lattice="3.528 0.000 0.000 -1.764 3.055 0.000 0.000 0.000 7.930" Properties=species:S:1:pos:R:3 pbc="T T T"
Y 0.000 2.037 2.520
Y 1.764 1.018 5.410
In 0.000 0.000 0.000
```

Calculated values
**E**: -1.102 hartree per atom
**DFT formation energy**: -0.295 eV/atom
**Symmetry**: P-3m1 (164)

[17]
Density functional theory data (SCAN) for Y3In5 at its PBEsol-relaxed geometry.

Cell and atoms, written as extended XYZ:
```
8
Lattice="4.508 -4.674 0.000 4.508 4.674 0.000 0.000 0.000 4.664" Properties=species:S:1:pos:R:3 pbc="T T T"
Y 0.000 0.000 0.000
Y 4.508 2.126 2.332
Y 4.508 -2.126 2.332
In 2.254 2.337 0.000
In 2.116 0.000 2.332
In 2.254 -2.337 0.000
In 4.508 0.000 0.000
In 6.901 0.000 2.332
```

Calculated values
**E**: -1.173 hartree per atom
**DFT formation energy**: -0.599 eV/atom
**Symmetry**: Cmmm (65)

[18]
Density functional theory data (SCAN) for Y5In at its PBEsol-relaxed geometry.

Cell and atoms, written as extended XYZ:
```
6
Lattice="6.266 -1.763 0.000 6.266 1.763 0.000 -2.085 0.000 7.844" Properties=species:S:1:pos:R:3 pbc="T T T"
Y 0.000 0.000 0.000
Y -0.892 0.000 4.814
Y 4.291 0.000 2.142
Y 7.645 0.000 2.804
Y 7.107 0.000 7.268
In 2.659 0.000 5.232
```

Calculated values
**E**: -1.065 hartree per atom
**DFT formation energy**: -0.205 eV/atom
**Symmetry**: Cm (8)

[19]
Density functional theory data (SCAN) for Y5In at its PBEsol-relaxed geometry.

Cell and atoms, written as extended XYZ:
```
6
Lattice="3.519 0.000 0.000 0.000 3.519 0.000 0.000 0.000 14.087" Properties=species:S:1:pos:R:3 pbc="T T T"
Y 0.000 0.000 0.000
Y 0.000 0.000 4.975
Y 0.000 0.000 9.112
Y 1.760 1.760 2.469
Y 1.760 1.760 11.618
In 1.760 1.760 7.044
```

Calculated values
**E**: -1.064 hartree per atom
**DFT formation energy**: -0.196 eV/atom
**Symmetry**: P4/mmm (123)

[20]
Density functional theory data (SCAN) for Y2In at its PBEsol-relaxed geometry.

Cell and atoms, written as extended XYZ:
```
6
Lattice="2.119 -7.823 0.000 2.119 7.823 0.000 0.000 0.000 4.918" Properties=species:S:1:pos:R:3 pbc="T T T"
Y 2.119 6.634 3.688
Y 2.119 4.198 1.229
Y 2.119 -4.198 3.688
Y 2.119 -6.634 1.229
In 2.119 1.360 3.688
In 2.119 -1.360 1.229
```

Calculated values
**E**: -1.108 hartree per atom
**DFT formation energy**: -0.470 eV/atom
**Symmetry**: Cmcm (63)